The following is a PBE calculation of crystalline LiTbIn5 at its relaxed geometry, from Alexandria via LeMat-Bulk.

Summary:
**E_form**: -0.228 eV/atom
**Space-group type**: P4/mmm, No. 123

The structure in extended XYZ format:
```
7
Lattice="4.5929 0.0000 0.0000 0.0000 4.5929 0.0000 0.0000 0.0000 8.1151" Properties=species:S:1:pos:R:3 pbc="T T T"
Li 0.0000 0.0000 0.0000
Tb 2.2964 2.2964 4.0575
In 0.0000 0.0000 4.0575
In 0.0000 2.2964 1.6269
In 0.0000 2.2964 6.4882
In 2.2964 0.0000 1.6269
In 2.2964 0.0000 6.4882
```